(1)
The following is a PBE calculation of Ge4PtO after structural relaxation, from OQMD via LeMat-Bulk.

CIF file:
```
data_Ge4PtO
_cell_length_a 5.628
_cell_length_b 2.995
_cell_length_c 6.196
_cell_angle_alpha 90.00
_cell_angle_beta 90.06
_cell_angle_gamma 90.00
_space_group_name_H-M_alt 'P 1'
_space_group_IT_number 1
loop_
_space_group_symop_operation_xyz
'x,y,z'
loop_
_atom_site_label
_atom_site_fract_x
_atom_site_fract_y
_atom_site_fract_z
Ge1 0.162 0.000 0.353
Ge2 0.301 0.500 0.879
Ge3 0.699 0.500 0.121
Ge4 0.838 0.000 0.647
Pt1 0.500 0.500 0.500
O1 0.000 0.000 0.000
```

For the total energy, the calculation gives -4.989 eV/atom.

---

(2)
The following is a PBE calculation of Ge2Pt3O after structural relaxation, from OQMD via LeMat-Bulk.

CIF file:
```
data_Ge2Pt3O
_cell_length_a 4.793
_cell_length_b 3.898
_cell_length_c 5.201
_cell_angle_alpha 90.00
_cell_angle_beta 100.89
_cell_angle_gamma 90.00
_space_group_name_H-M_alt 'P 1'
_space_group_IT_number 1
loop_
_space_group_symop_operation_xyz
'x,y,z'
loop_
_atom_site_label
_atom_site_fract_x
_atom_site_fract_y
_atom_site_fract_z
Ge1 0.000 0.000 0.000
Ge2 0.276 0.500 0.522
Pt1 0.346 0.500 0.020
Pt2 0.666 0.000 0.281
Pt3 0.814 0.500 0.684
O1 0.304 0.000 0.475
```

For the energy above the lowest structure with this stoichiometry, the calculation gives 0.0 meV/atom.

---

(3)
The following is a PBE calculation of GePtSO after structural relaxation, from OQMD via LeMat-Bulk.

CIF file:
```
data_GePtSO
_cell_length_a 3.734
_cell_length_b 3.734
_cell_length_c 10.822
_cell_angle_alpha 90.00
_cell_angle_beta 90.00
_cell_angle_gamma 90.00
_space_group_name_H-M_alt 'P 1'
_space_group_IT_number 1
loop_
_space_group_symop_operation_xyz
'x,y,z'
loop_
_atom_site_label
_atom_site_fract_x
_atom_site_fract_y
_atom_site_fract_z
Ge1 0.250 0.250 0.099
Ge2 0.750 0.750 0.901
Pt1 0.250 0.750 0.500
Pt2 0.750 0.250 0.500
S1 0.250 0.250 0.648
S2 0.750 0.750 0.352
O1 0.250 0.250 0.932
O2 0.750 0.750 0.068
```

For the energy above the lowest structure with this stoichiometry, the calculation gives 462.6 meV/atom.

---

(4)
The following is a PBE calculation of GePtSO after structural relaxation, from OQMD via LeMat-Bulk.

CIF file:
```
data_GePtSO
_cell_length_a 6.036
_cell_length_b 6.939
_cell_length_c 5.969
_cell_angle_alpha 90.00
_cell_angle_beta 90.00
_cell_angle_gamma 90.00
_space_group_name_H-M_alt 'P 1'
_space_group_IT_number 1
loop_
_space_group_symop_operation_xyz
'x,y,z'
loop_
_atom_site_label
_atom_site_fract_x
_atom_site_fract_y
_atom_site_fract_z
Ge1 0.127 0.197 0.000
Ge2 0.373 0.197 0.500
Ge3 0.627 0.803 0.000
Ge4 0.873 0.803 0.500
Pt1 0.000 0.304 0.629
Pt2 0.000 0.696 0.129
Pt3 0.500 0.304 0.129
Pt4 0.500 0.696 0.629
S1 0.111 0.611 0.735
S2 0.389 0.611 0.235
S3 0.611 0.389 0.735
S4 0.889 0.389 0.235
O1 0.149 0.958 0.086
O2 0.351 0.958 0.586
O3 0.649 0.042 0.086
O4 0.851 0.042 0.586
```

For the energy above the lowest structure with this stoichiometry, the calculation gives 0.0 meV/atom.

---

(5)
The following is a PBE calculation of GePtSO after structural relaxation, from OQMD via LeMat-Bulk.

CIF file:
```
data_GePtSO
_cell_length_a 4.518
_cell_length_b 6.568
_cell_length_c 9.017
_cell_angle_alpha 90.00
_cell_angle_beta 90.00
_cell_angle_gamma 90.00
_space_group_name_H-M_alt 'P 1'
_space_group_IT_number 1
loop_
_space_group_symop_operation_xyz
'x,y,z'
loop_
_atom_site_label
_atom_site_fract_x
_atom_site_fract_y
_atom_site_fract_z
Ge1 0.142 0.175 0.124
Ge2 0.358 0.825 0.624
Ge3 0.642 0.325 0.876
Ge4 0.858 0.675 0.376
Pt1 0.242 0.172 0.730
Pt2 0.258 0.828 0.230
Pt3 0.742 0.328 0.270
Pt4 0.758 0.672 0.770
S1 0.072 0.700 0.015
S2 0.428 0.300 0.515
S3 0.572 0.800 0.985
S4 0.928 0.200 0.485
O1 0.019 0.675 0.572
O2 0.481 0.325 0.072
O3 0.519 0.825 0.428
O4 0.981 0.175 0.928
```

For the energy above the lowest structure with this stoichiometry, the calculation gives 273.5 meV/atom.

---

(6)
The following is a PBE calculation of GePtSO after structural relaxation, from OQMD via LeMat-Bulk.

CIF file:
```
data_GePtSO
_cell_length_a 6.092
_cell_length_b 8.101
_cell_length_c 5.650
_cell_angle_alpha 90.00
_cell_angle_beta 90.00
_cell_angle_gamma 90.00
_space_group_name_H-M_alt 'P 1'
_space_group_IT_number 1
loop_
_space_group_symop_operation_xyz
'x,y,z'
loop_
_atom_site_label
_atom_site_fract_x
_atom_site_fract_y
_atom_site_fract_z
Ge1 0.077 0.207 0.000
Ge2 0.423 0.207 0.500
Ge3 0.577 0.793 0.000
Ge4 0.923 0.793 0.500
Pt1 0.230 0.659 0.048
Pt2 0.270 0.659 0.548
Pt3 0.730 0.341 0.048
Pt4 0.770 0.341 0.548
S1 0.046 0.151 0.587
S2 0.454 0.151 0.087
S3 0.546 0.849 0.587
S4 0.954 0.849 0.087
O1 0.053 0.434 0.008
O2 0.447 0.434 0.508
O3 0.553 0.566 0.008
O4 0.947 0.566 0.508
```

For the energy above the lowest structure with this stoichiometry, the calculation gives 386.1 meV/atom.

---

(7)
The following is a PBE calculation of GePtSO after structural relaxation, from OQMD via LeMat-Bulk.

CIF file:
```
data_GePtSO
_cell_length_a 4.201
_cell_length_b 4.201
_cell_length_c 7.693
_cell_angle_alpha 90.00
_cell_angle_beta 90.00
_cell_angle_gamma 90.00
_space_group_name_H-M_alt 'P 1'
_space_group_IT_number 1
loop_
_space_group_symop_operation_xyz
'x,y,z'
loop_
_atom_site_label
_atom_site_fract_x
_atom_site_fract_y
_atom_site_fract_z
Ge1 0.250 0.750 0.000
Ge2 0.750 0.250 0.000
Pt1 0.250 0.250 0.174
Pt2 0.750 0.750 0.826
S1 0.250 0.250 0.692
S2 0.750 0.750 0.308
O1 0.250 0.250 0.497
O2 0.750 0.750 0.503
```

For the energy above the lowest structure with this stoichiometry, the calculation gives 543.3 meV/atom.

---

(8)
The following is a PBE calculation of GePtSO after structural relaxation, from OQMD via LeMat-Bulk.

CIF file:
```
data_GePtSO
_cell_length_a 4.444
_cell_length_b 4.444
_cell_length_c 7.976
_cell_angle_alpha 90.00
_cell_angle_beta 90.00
_cell_angle_gamma 90.00
_space_group_name_H-M_alt 'P 1'
_space_group_IT_number 1
loop_
_space_group_symop_operation_xyz
'x,y,z'
loop_
_atom_site_label
_atom_site_fract_x
_atom_site_fract_y
_atom_site_fract_z
Ge1 0.250 0.250 0.130
Ge2 0.750 0.750 0.870
Pt1 0.250 0.250 0.595
Pt2 0.750 0.750 0.405
S1 0.250 0.750 0.500
S2 0.750 0.250 0.500
O1 0.250 0.250 0.917
O2 0.750 0.750 0.083
```

For the energy above the lowest structure with this stoichiometry, the calculation gives 436.5 meV/atom.